SiAsSe2N (PBE-GGA, relaxed); spin magnetization = 0.0 μB per formula unit; SG = P4/mmm; crystal system = tetragonal; E_tot = -4.73 eV/atom; DOS(E_F) = 1.42 states/eV per cell; polymorph energy (0 for the lowest one) = 0.000 eV per atom; energy relative to the elements, uncorrected = 0.346 eV/atom
1.0
5.092 0.000 0.000
0.000 5.092 0.000
0.000 0.000 3.329
Si As Se N
1 1 2 1
direct
0.000 0.000 0.000
0.500 0.500 0.500
0.000 0.500 0.000
0.500 0.000 0.000
0.000 0.000 0.500